First-principles (PBE-GGA) data for a relaxed structure of Li2SnGe, as listed in the Alexandria database.

abc: 7.4991 7.4991 6.0451
angles: 51.66 51.66 90.00
Sites, in units of the cell vectors:
Ge (0.5000, 0.5000, 0.0000)
Ge (0.2500, 0.7500, 0.5000)
Sn (0.0000, 0.0000, 0.0000)
Sn (0.7500, 0.2500, 0.5000)
Li (0.6031, 0.1250, 0.2500)
Li (0.1469, 0.6250, 0.2500)
Li (0.3750, 0.3969, 0.7500)
Li (0.8750, 0.8531, 0.7500)

Values from the calculation:
DFT formation energy: 0.000 eV/atom